# NpTl2Ag2S4

A relaxed NpTl2Ag2S4 crystal (PBE, Alexandria via LeMat-Bulk).

Cell: 4.1077 7.7198 7.7917 Å, 110.81 105.28 90.00°
Last column: magnetic moment on the atom in μB.
Fractional positions:
Ag: 0.6768 0.9707 0.3536  -0.02
Ag: 0.3232 0.0293 0.6464  -0.02
Tl: 0.1392 0.5669 0.2785  0.00
Tl: 0.8608 0.4331 0.7215  0.00
S: 0.8074 0.8092 0.6149  -0.06
S: 0.5024 0.7685 0.0048  -0.09
S: 0.1926 0.1908 0.3851  -0.06
S: 0.4976 0.2315 0.9952  -0.09
Np: 0.0000 0.0000 0.0000  3.31

Summary:
The value obtained for the formation energy (no corrections) is -13.76 kcal/mol of atoms. Its density of states at the Fermi level is 10.43 states/eV/f.u. The calculation puts the calculated total energy at -45.3 eV per formula unit.

# Np3Tl4AgS8

A relaxed Np3Tl4AgS8 crystal (PBE, Alexandria via LeMat-Bulk).

Cell: 8.0181 8.8165 8.0180 Å, 117.04 120.00 90.00°
Last column: magnetic moment on the atom in μB.
Fractional positions:
S: 0.7606 0.3035 0.0429  -0.10
S: 0.2394 0.6965 0.9571  -0.10
S: 0.2394 0.6965 0.4788  -0.10
S: 0.2823 0.3035 0.0429  -0.10
S: 0.7606 0.3035 0.5212  -0.10
S: 0.7177 0.6965 0.9571  -0.10
S: 0.2681 0.3044 0.5362  -0.09
S: 0.7319 0.6956 0.4638  -0.09
Tl: 0.5000 0.0000 0.0000  -0.01
Tl: 0.5000 0.0000 0.5000  0.00
Tl: 0.0000 0.0000 0.5000  0.00
Tl: 0.0000 0.0000 0.0000  0.00
Np: 0.5000 0.5000 0.5000  3.50
Np: 0.5000 0.5000 0.0000  3.50
Np: 0.0000 0.5000 0.5000  3.50
Ag: 0.0000 0.5000 0.0000  -0.04

Summary:
The value obtained for the formation energy (no corrections) is -19.80 kcal/mol of atoms. Its density of states at the Fermi level is 30.46 states/eV/f.u. The calculation puts the calculated total energy at -97.9 eV per formula unit.

# Np3Tl3AgS8

A relaxed Np3Tl3AgS8 crystal (PBE, Alexandria via LeMat-Bulk).

Cell: 7.9215 7.9213 8.7899 Å, 116.79 90.01 119.99°
Last column: magnetic moment on the atom in μB.
Fractional positions:
S: 0.2866 0.0456 0.3045  -0.13
S: 0.2409 0.9543 0.6953  -0.13
S: 0.7591 0.0457 0.3047  -0.13
S: 0.2675 0.5351 0.3028  -0.09
S: 0.2410 0.4820 0.6954  -0.13
S: 0.7590 0.5180 0.3046  -0.13
S: 0.7134 0.9544 0.6955  -0.13
S: 0.7325 0.4649 0.6972  -0.09
Tl: 0.5000 0.5000 0.0000  -0.01
Tl: 0.0000 0.5000 0.0000  -0.01
Tl: 0.0000 0.0000 0.0000  -0.01
Np: 0.5000 0.5000 0.5000  3.30
Np: 0.0000 0.5000 0.5000  3.30
Np: 0.5000 0.0000 0.5000  3.31
Ag: 0.0000 0.0000 0.5000  -0.07

Summary:
The value obtained for the formation energy (no corrections) is -20.17 kcal/mol of atoms. Its density of states at the Fermi level is 27.25 states/eV/f.u. The calculation puts the calculated total energy at -94.9 eV per formula unit.